DFT (PBE-GGA) results for an optimized crystal structure of TaInMo2.

Cell lengths 3.0742, 3.0742, 26.9012 Å; angles 90.00, 90.00, 120.00 degrees
Space group R3m (No. 160, hexagonal axes)
Symmetry-distinct sites (fractional):
Ta  0.0000  0.0000  0.0000 [3 per cell]
In  0.0000  0.0000  0.7606 [3 per cell]
Mo  0.0000  0.0000  0.2552 [3 per cell]
Mo  0.0000  0.0000  0.5164 [3 per cell]

Results
final energy	-104.9	eV/cell
crystal system	trigonal
magnetization	0.000	μB/atom



DFT (PBE-GGA) results for an optimized crystal structure of Ta2InMo.

Cell lengths 3.403, 3.403, 6.344 Å; angles 90.00, 90.00, 90.00 degrees
Space group P4mm (No. 99)
Symmetry-distinct sites (fractional):
Ta  0.000  0.000  0.000 [1 per cell]
Ta  0.500  0.500  0.234 [1 per cell]
In  0.000  0.000  0.514 [1 per cell]
Mo  0.500  0.500  0.776 [1 per cell]

Results
final energy	-36.9	eV/cell
crystal system	tetragonal
magnetization	0.000	μB/atom



DFT (PBE-GGA) results for an optimized crystal structure of Ta2InMo.

Cell lengths 2.833, 2.833, 9.233 Å; angles 90.00, 90.00, 90.00 degrees
Space group P4mm (No. 99)
Symmetry-distinct sites (fractional):
Ta  0.000  0.000  0.000 [1 per cell]
Ta  0.500  0.500  0.249 [1 per cell]
In  0.000  0.000  0.508 [1 per cell]
Mo  0.500  0.500  0.753 [1 per cell]

Results
final energy	-36.2	eV/cell
crystal system	tetragonal
magnetization	0.000	μB/atom



DFT (PBE-GGA) results for an optimized crystal structure of TaInMo2.

Cell lengths 2.8958, 2.8958, 29.6568 Å; angles 90.00, 90.00, 120.00 degrees
Space group R-3m (No. 166, hexagonal axes)
Symmetry-distinct sites (fractional):
Ta  0.0000  0.0000  0.0000 [3 per cell]
In  0.0000  0.0000  0.5000 [3 per cell]
Mo  0.0000  0.0000  0.2501 [6 per cell]

Results
final energy	-103.6	eV/cell
crystal system	trigonal
magnetization	0.000	μB/atom



DFT (PBE-GGA) results for an optimized crystal structure of TaInMo2.

Cell lengths 4.018, 4.018, 8.726 Å; angles 90.00, 90.00, 90.00 degrees
Space group I4/mmm (No. 139)
Symmetry-distinct sites (fractional):
Ta  0.000  0.000  0.000 [2 per cell]
In  0.000  0.000  0.500 [2 per cell]
Mo  0.000  0.500  0.250 [4 per cell]

Results
final energy	-70.0	eV/cell
crystal system	tetragonal
magnetization	0.000	μB/atom



DFT (PBE-GGA) results for an optimized crystal structure of TaInMo2.

Cell lengths 3.263, 4.766, 9.170 Å; angles 90.00, 90.00, 90.00 degrees
Space group Cmm2 (No. 35)
Symmetry-distinct sites (fractional):
Ta  0.000  0.000  0.000 [2 per cell]
In  0.000  0.500  0.727 [2 per cell]
Mo  0.000  0.000  0.466 [2 per cell]
Mo  0.000  0.500  0.238 [2 per cell]

Results
final energy	-71.3	eV/cell
crystal system	orthorhombic
magnetization	0.000	μB/atom



DFT (PBE-GGA) results for an optimized crystal structure of TaInMo2.

Cell lengths 3.354, 4.574, 9.171 Å; angles 90.00, 90.00, 90.00 degrees
Space group Imm2 (No. 44)
Symmetry-distinct sites (fractional):
Ta  0.000  0.000  0.000 [2 per cell]
In  0.000  0.500  0.772 [2 per cell]
Mo  0.000  0.000  0.536 [2 per cell]
Mo  0.000  0.500  0.261 [2 per cell]

Results
final energy	-71.6	eV/cell
crystal system	orthorhombic
magnetization	0.000	μB/atom



DFT (PBE-GGA) results for an optimized crystal structure of Ta3InMo.

Cell lengths 4.915, 4.915, 4.915 Å; angles 90.00, 90.00, 90.00 degrees
Space group Pm-3m (No. 221)
Symmetry-distinct sites (fractional):
Ta  0.000  0.000  0.500 [3 per cell]
In  0.000  0.000  0.000 [1 per cell]
Mo  0.500  0.500  0.500 [1 per cell]

Results
crystal system	cubic
excess energy over the best structure of this formula in the dataset	1.205	eV per atom
magnetization	0.000	μB/atom



DFT (PBE-GGA) results for an optimized crystal structure of Ta2InMo.

Cell lengths 5.731, 9.433, 2.847 Å; angles 90.00, 109.10, 90.00 degrees
Space group C2/m (No. 12)
Symmetry-distinct sites (fractional):
Ta  0.250  0.250  0.000 [4 per cell]
In  0.000  0.000  0.500 [2 per cell]
Mo  0.000  0.500  0.500 [2 per cell]

Results
final energy	-73.3	eV/cell
crystal system	monoclinic
magnetization	0.000	μB/atom



DFT (PBE-GGA) results for an optimized crystal structure of TaInMo2.

Cell lengths 3.400, 3.400, 6.159 Å; angles 90.00, 90.00, 90.00 degrees
Space group P4mm (No. 99)
Symmetry-distinct sites (fractional):
Ta  0.000  0.000  0.000 [1 per cell]
In  0.500  0.500  0.286 [1 per cell]
Mo  0.000  0.000  0.555 [1 per cell]
Mo  0.500  0.500  0.777 [1 per cell]

Results
final energy	-35.6	eV/cell
crystal system	tetragonal
magnetization	0.000	μB/atom



DFT (PBE-GGA) results for an optimized crystal structure of Ta2InMo.

Cell lengths 2.862, 4.615, 5.677 Å; angles 90.00, 102.36, 90.00 degrees
Space group P2/m (No. 10)
Symmetry-distinct sites (fractional):
Ta  0.222  0.000  0.268 [2 per cell]
In  0.500  0.500  0.000 [1 per cell]
Mo  0.000  0.500  0.500 [1 per cell]

Results
final energy	-36.8	eV/cell
crystal system	monoclinic
magnetization	0.000	μB/atom



DFT (PBE-GGA) results for an optimized crystal structure of Ta2InTcMo.

Cell lengths 4.858, 4.858, 4.694 Å; angles 90.00, 90.00, 90.00 degrees
Space group P4/mmm (No. 123)
Symmetry-distinct sites (fractional):
Ta  0.000  0.500  0.000 [2 per cell]
In  0.000  0.000  0.500 [1 per cell]
Tc  0.500  0.500  0.500 [1 per cell]
Mo  0.500  0.500  0.000 [1 per cell]

Results
final energy	-41.1	eV/cell
crystal system	tetragonal
magnetization	0.114	μB/atom